(1)
Entry from the Alexandria database: a relaxed structure of Y2CuHg (PBE).

Summary:
E in eV/atom: -4.339
Symmetry: I-42d (122)
ΔH_f (0 K) in meV/atom: -7
DOS(E_F) in states/eV/cell: 10.45

a = 6.535 Å, b = 6.535 Å, c = 6.535 Å
α = 107.31°, β = 107.31°, γ = 113.89°
Atoms (fractional coordinates):
1 Y 0.095 0.125 0.470
2 Y 0.375 0.905 0.030
3 Y 0.655 0.625 0.530
4 Y 0.875 0.345 0.970
5 Cu 0.000 0.000 0.000
6 Cu 0.750 0.250 0.500
7 Hg 0.250 0.750 0.500
8 Hg 0.500 0.500 0.000

***

(2)
Entry from the Alexandria database: a relaxed structure of HgPC3 (PBE).

Summary:
E in eV/atom: -4.460
Energy relative to the lowest polymorph listed for this composition in eV/f.u.: 0.00
Symmetry: Pm-3m (221)
ΔH_f (0 K) in meV/atom: 2217
DOS(E_F) in states/eV/cell: 1.97

a = 3.776 Å, b = 3.776 Å, c = 3.776 Å
α = 90.00°, β = 90.00°, γ = 90.00°
Atoms (fractional coordinates):
1 Hg 0.000 0.000 0.000
2 P 0.500 0.500 0.500
3 C 0.000 0.500 0.500
4 C 0.500 0.000 0.500
5 C 0.500 0.500 0.000